DFT (PBE) results for a geometry-optimized Pr2TmPuSe5 structure.

Results
SG: P4/mmm
VASP energy: -6.37 eV/atom
E_form (uncorrected): -1282 meV per atom
ρ: 6.51 g/cm³

a = 5.045 Å, b = 5.045 Å, c = 10.913 Å
α = 90.00°, β = 90.00°, γ = 90.00°
Fractional positions:
Pr 0.500 0.500 0.288
Pr 0.500 0.500 0.712
Tm 0.000 0.000 0.500
Pu 0.000 0.000 0.000
Se 0.000 0.500 0.500
Se 0.500 0.000 0.500
Se 0.000 0.000 0.750
Se 0.000 0.000 0.250
Se 0.500 0.500 0.000